# KH2Br2, relaxed, DFT GGA-PBE
# - total moment (μB/f.u.) = 0.52
# - total energy (eV/atom) = -2.571
data_KH2Br2
_symmetry_space_group_name_H-M 'P -1'
_symmetry_Int_Tables_number 2
_cell_length_a 3.7922
_cell_length_b 4.9931
_cell_length_c 7.5388
_cell_angle_alpha 71.63
_cell_angle_beta 76.39
_cell_angle_gamma 69.72
loop_
_symmetry_equiv_pos_as_xyz
'x,y,z'
'-x,-y,-z'
loop_
_atom_site_label
_atom_site_fract_x
_atom_site_fract_y
_atom_site_fract_z
K1 0.0000 0.0000 0.0000
H1 0.2777 0.6825 0.7274
Br1 0.2260 0.3142 0.2702